## Na2CeHo2S6 (PBE)

Data for Na2CeHo2S6 after structural relaxation.

Unit cell a=6.925 b=6.925 c=7.081 alpha=99.36 beta=99.36 gamma=120.00
Atoms (fractional coordinates):
Na 0.832 0.168 0.000
Na 0.168 0.832 0.000
Ce 0.000 0.000 0.500
Ho 0.334 0.666 0.500
Ho 0.666 0.334 0.500
S 0.744 0.744 0.720
S 0.069 0.406 0.720
S 0.256 0.256 0.280
S 0.406 0.069 0.720
S 0.931 0.594 0.280
S 0.594 0.931 0.280

Summary:
Space group: C2/m
DFT total energy: -5.6690 eV per atom
Calculated volume: 25.28 Å³ per atom
E_form (uncorrected): -1806 meV/atom

---

## BeTc2NiHg (PBE)

Data for BeTc2NiHg after structural relaxation.

Unit cell a=4.146 b=4.368 c=4.146 alpha=90.00 beta=90.00 gamma=90.00
Atoms (fractional coordinates):
Ni 0.500 0.500 0.500
Be 0.000 0.000 0.000
Hg 0.000 0.500 0.000
Tc 0.000 0.000 0.500
Tc 0.500 0.000 0.000

Summary:
Space group: P4/mmm
DFT total energy: -5.1410 eV per atom
Calculated volume: 15.02 Å³ per atom
DFT formation energy: 967.2 meV per atom

---

## BeH2Au (PBE)

Data for BeH2Au after structural relaxation.

Unit cell a=4.322 b=4.322 c=5.077 alpha=64.81 beta=64.81 gamma=90.00
Atoms (fractional coordinates):
Be 0.500 0.500 0.000
Be 0.250 0.750 0.500
Au 0.000 0.000 0.000
Au 0.750 0.250 0.500
H 0.414 0.125 0.250
H 0.336 0.625 0.250
H 0.375 0.586 0.750
H 0.875 0.664 0.750

Summary:
Excess energy over the best structure of this formula in the dataset: 0 meV/atom
Space group: I-42d
DFT total energy: -3.0184 eV per atom
Calculated volume: 9.47 Å³ per atom

---

## Ag3IBr3 (PBE)

Data for Ag3IBr3 after structural relaxation.

Unit cell a=5.602 b=9.835 c=9.834 alpha=119.99 beta=90.00 gamma=90.00
Atoms (fractional coordinates):
Ag 0.750 0.663 0.831
Ag 0.750 0.168 0.337
Ag 0.750 0.168 0.832
Ag 0.250 0.337 0.169
Ag 0.250 0.832 0.663
Ag 0.250 0.832 0.168
I 0.750 0.333 0.667
I 0.250 0.667 0.333
Br 0.250 0.683 0.841
Br 0.250 0.158 0.317
Br 0.250 0.158 0.842
Br 0.750 0.317 0.159
Br 0.750 0.842 0.683
Br 0.750 0.842 0.158

Summary:
Space group: Cmcm
DFT total energy: -2.4084 eV per atom
Calculated volume: 33.52 Å³ per atom
E_form (uncorrected): -248 meV/atom

---

## Dy2TmH8 (PBE)

Data for Dy2TmH8 after structural relaxation.

Unit cell a=3.621 b=5.069 c=6.262 alpha=113.87 beta=106.80 gamma=90.00
Atoms (fractional coordinates):
Dy 0.168 0.668 0.336
Dy 0.832 0.332 0.664
Tm 0.500 0.000 0.000
H 0.659 0.902 0.319
H 0.341 0.583 0.681
H 0.160 0.160 0.320
H 0.000 0.263 0.000
H 0.840 0.840 0.680
H 0.659 0.417 0.319
H 0.341 0.098 0.681
H 0.000 0.737 0.000

Summary:
Space group: Immm
DFT total energy: -4.3051 eV per atom
Calculated volume: 9.06 Å³ per atom

---

## CaSmZnSn (PBE)

Data for CaSmZnSn after structural relaxation.

Unit cell a=5.307 b=5.307 c=5.307 alpha=60.00 beta=60.00 gamma=60.00
Atoms (fractional coordinates):
Zn 0.750 0.750 0.750
Ca 0.000 0.000 0.000
Sn 0.250 0.250 0.250
Sm 0.500 0.500 0.500

Summary:
Space group: F-43m
DFT total energy: -3.4796 eV per atom
Calculated volume: 26.42 Å³ per atom
DFT formation energy: -480.2 meV per atom

---

## Zn2MoBr (PBE)

Data for Zn2MoBr after structural relaxation.

Unit cell a=7.678 b=7.678 c=6.075 alpha=50.80 beta=50.80 gamma=90.00
Last column: magnetic moment on the atom in μB.
Atoms (fractional coordinates):
Mo 0.000 0.000 0.000  2.37
Mo 0.750 0.250 0.500  2.37
Zn 0.642 0.125 0.250  0.00
Zn 0.108 0.625 0.250  0.00
Zn 0.375 0.358 0.750  0.00
Zn 0.875 0.892 0.750  0.00
Br 0.500 0.500 0.000  0.07
Br 0.250 0.750 0.500  0.07

Summary:
Excess energy over the best structure of this formula in the dataset: 465 meV/atom
Space group: I-42d
DFT total energy: -3.0686 eV per atom
Calculated volume: 20.08 Å³ per atom
E_form (uncorrected): 694 meV/atom

---

## CeNdZnPb (PBE)

Data for CeNdZnPb after structural relaxation.

Unit cell a=5.400 b=5.400 c=5.400 alpha=60.00 beta=60.00 gamma=60.00
Last column: magnetic moment on the atom in μB.
Atoms (fractional coordinates):
Pb 0.500 0.500 0.500  -0.01
Zn 0.000 0.000 0.000  0.01
Nd 0.750 0.750 0.750  0.05
Ce 0.250 0.250 0.250  0.84

Summary:
Space group: F-43m
DFT total energy: -4.2404 eV per atom
Calculated volume: 27.83 Å³ per atom
DFT formation energy: -319.4 meV per atom